The following is a DFT calculation (PBE-GGA) of crystalline TlCdFeBr5 at its relaxed geometry.

Calculated values
SG: C2/c, No. 15
Final energy (eV per atom): -3.179
Formation energy without anion corrections (kJ per mole of atoms): -64

Cell: 7.817 7.817 9.967 Å, 103.60 103.60 105.93°
Fractional coordinates of all 16 atoms:
Tl  0.150  0.850  0.750
Tl  0.850  0.150  0.250
Cd  0.500  0.500  0.000
Cd  0.500  0.500  0.500
Fe  0.185  0.815  0.250
Fe  0.815  0.185  0.750
Br  0.110  0.251  0.937
Br  0.176  0.588  0.381
Br  0.251  0.110  0.437
Br  0.412  0.824  0.119
Br  0.416  0.584  0.750
Br  0.584  0.416  0.250
Br  0.588  0.176  0.881
Br  0.749  0.890  0.563
Br  0.824  0.412  0.619
Br  0.890  0.749  0.063